! ScMnCl2 (GGA-PBE, optimized geometry); values from VASP
&SYSTEM
  ibrav = 0, nat = 4, ntyp = 3
/
ATOMIC_SPECIES
Sc 44.96 Sc.upf
Mn 54.94 Mn.upf
Cl 35.45 Cl.upf
CELL_PARAMETERS angstrom
3.219 0.000 0.000
0.000 5.821 0.000
0.000 0.000 4.142
ATOMIC_POSITIONS angstrom
Sc 0.000 2.910 2.071
Mn 1.609 0.000 2.071
Cl 0.000 0.000 0.000
Cl 1.609 2.910 0.000
! electronic total energy = -0.19673 Ha/atom
! symmetry = Pmmm, No. 47
! energy relative to the lowest polymorph listed for this composition = 359 meV per atom
! magnetic moment = 3.62 μB/f.u.

! KRbBiAu (GGA-PBE, optimized geometry); values from VASP
&SYSTEM
  ibrav = 0, nat = 4, ntyp = 4
/
ATOMIC_SPECIES
K 39.10 K.upf
Rb 85.47 Rb.upf
Bi 208.98 Bi.upf
Au 196.97 Au.upf
CELL_PARAMETERS angstrom
5.120 0.000 0.000
-2.560 6.156 0.026
0.000 0.014 6.733
ATOMIC_POSITIONS angstrom
K 2.560 1.260 2.345
Rb 2.560 4.333 5.734
Bi 0.000 3.863 2.403
Au 2.560 4.883 2.363
! DFT formation energy = -0.311 eV/atom
! electronic total energy = -0.09616 Ha/atom
! symmetry = Cm, No. 8
! magnetic moment = 0.00 μB/f.u.

! CdSiP2 (GGA-PBE, optimized geometry); values from VASP
&SYSTEM
  ibrav = 0, nat = 4, ntyp = 3
/
ATOMIC_SPECIES
Cd 112.41 Cd.upf
P 30.97 P.upf
Si 28.09 Si.upf
CELL_PARAMETERS angstrom
-1.510 -2.292 -1.157
-0.423 0.342 2.928
-6.890 5.359 -1.621
ATOMIC_POSITIONS angstrom
Cd -6.134 3.044 -0.330
P -0.399 0.311 -0.094
P -3.046 2.369 -0.716
Si -2.689 0.365 0.481
! electronic total energy = -0.14050 Ha/atom
! symmetry = Cmmm, No. 65
! energy relative to the lowest polymorph listed for this composition = 666 meV per atom
! magnetic moment = 0.00 μB/f.u.